# 1
DFT (PBE) results for crystalline CeZn7Ag5 at its relaxed geometry.

Output
Energy in eV per atom: -2.2977
ΔH_f (0 K) in meV/atom: -59
N(E_F) in states/eV per atom: 1.00

Unit cell a=5.4451 b=7.0987 c=7.0987 alpha=82.46 beta=67.45 gamma=67.45
Closest atoms and distances in Å follow each position.
Positions (direct):
Zn: 0.3098 0.1902 0.1902  4 Ag 2.67, 2 Zn 2.69
Zn: 0.3566 0.6434 0.6434  3 Zn 2.67-2.94, 4 Ag 2.98
Ag: 0.4942 0.0158 0.4927  7 Zn 2.67-2.98, 3 Ag 2.71-2.82
Ce: 0.0068 0.9932 0.9932  10 Zn 3.21-3.41, 10 Ag 3.33-3.56
Zn: 0.6475 0.3525 0.3525  3 Zn 2.67-2.96, 4 Ag 2.77
Ag: 0.9974 0.4927 0.0158  7 Zn 2.67-2.98, 3 Ag 2.71-2.82
Zn: 0.4993 0.2196 0.7818  5 Ag 2.68-2.85, 3 Zn 2.69-2.96
Zn: 0.4993 0.7818 0.2196  5 Ag 2.68-2.85, 3 Zn 2.69-2.96
Ag: 0.9974 0.0158 0.4927  7 Zn 2.67-2.98, 3 Ag 2.71-2.82
Ag: 0.7157 0.7843 0.7843  4 Ag 2.82, 6 Zn 2.85-3.01
Zn: 0.9909 0.6565 0.3617  3 Zn 2.76-3.00, 5 Ag 2.83-2.88
Ag: 0.4942 0.4927 0.0158  7 Zn 2.67-2.98, 3 Ag 2.71-2.82
Zn: 0.9909 0.3617 0.6565  3 Zn 2.76-3.00, 5 Ag 2.83-2.88

---

# 2
DFT (PBE) results for crystalline Sc2Bi2H at its relaxed geometry.

Output
Energy in eV per atom: -5.2653
N(E_F) in states/eV per atom: 0.24

Unit cell a=3.5878 b=7.8955 c=8.0881 alpha=90.00 beta=102.81 gamma=90.00
Closest atoms and distances in Å follow each position.
Positions (direct):
H: 0.6227 0.6545 0.2453  3 Sc 1.99-2.00
Sc: 0.3980 0.4029 0.7959  1 H 1.99
Bi: 0.7397 0.3145 0.4793  5 Sc 2.90-3.15, 2 H 3.09
Bi: 0.0401 0.2162 0.0802  6 Sc 3.00-3.23, 2 H 3.17
Bi: 0.2603 0.8145 0.5207  5 Sc 2.90-3.15, 2 H 3.09
Sc: 0.1349 0.5462 0.2699  2 H 2.00
Sc: 0.8651 0.0462 0.7301  2 H 2.00
H: 0.3773 0.1545 0.7547  3 Sc 1.99-2.00
Sc: 0.6020 0.9029 0.2041  1 H 1.99
Bi: 0.9599 0.7162 0.9198  6 Sc 3.00-3.23, 2 H 3.17

---

# 3
DFT (PBE) results for crystalline Na2GaTeSe5 at its relaxed geometry.

Output
Energy in eV per atom: -3.4542
Energy relative to the elements, uncorrected in eV/atom: -0.540
N(E_F) in states/eV per atom: 0.31

Unit cell a=3.9075 b=10.0187 c=12.4888 alpha=90.00 beta=90.00 gamma=101.25
Closest atoms and distances in Å follow each position.
Positions (direct):
Se: 0.3806 0.7612 0.9724  1 Te 2.54
Se: 0.7712 0.5425 0.2091  2 Te 2.85, 2 Se 2.87
Na: 0.8992 0.7984 0.7989  5 Se 2.94-3.03
Se: 0.5173 0.0345 0.7913  1 Ga 2.36
Na: 0.9301 0.8602 0.1353  6 Se 2.95-3.26
Se: 0.7169 0.4339 0.8762  1 Ga 2.58, 2 Se 2.87
Se: 0.4827 0.9655 0.2913  1 Ga 2.36
Na: 0.0699 0.1398 0.6353  6 Se 2.95-3.26
Se: 0.6194 0.2388 0.4724  1 Te 2.54
Te: 0.7402 0.4804 0.5439  1 Se 2.54
Se: 0.9163 0.8326 0.5579  2 Ga 2.46
Se: 0.2831 0.5661 0.3762  1 Ga 2.58, 2 Se 2.87
Ga: 0.4080 0.8160 0.4389  4 Se 2.36-2.58
Se: 0.0837 0.1674 0.0579  2 Ga 2.46
Se: 0.2288 0.4575 0.7091  2 Te 2.85, 2 Se 2.87
Na: 0.1008 0.2016 0.2989  5 Se 2.94-3.03
Ga: 0.5920 0.1840 0.9389  4 Se 2.36-2.58
Te: 0.2598 0.5196 0.0439  1 Se 2.54

---

# 4
DFT (PBE) results for crystalline Ac5Ti3Se12 at its relaxed geometry.

Output
Energy in eV per atom: -5.3772
Energy relative to the elements, uncorrected in eV/atom: -1.075
N(E_F) in states/eV per atom: 0.65

Unit cell a=14.8729 b=14.8729 c=14.8729 alpha=109.47 beta=109.47 gamma=109.47
Closest atoms and distances in Å follow each position.
Positions (direct):
Se: 0.2544 0.3801 0.8250  1 Ti 2.73, 1 Ac 2.93
Se: 0.8743 0.2544 0.4295  1 Ti 2.73, 1 Ac 2.93
Se: 0.1750 0.0551 0.9295  1 Ti 2.73, 1 Ac 2.93
Ac: 0.1250 0.7500 0.3750  4 Se 2.93
Se: 0.4295 0.7544 0.8743  1 Ti 2.73, 1 Ac 2.93
Se: 0.0705 0.4449 0.8250  1 Ti 2.73, 1 Ac 2.93
Se: 0.0551 0.1750 0.4295  1 Ti 2.73, 1 Ac 2.93
Ac: 0.3750 0.2500 0.1250  4 Se 2.93
Se: 0.5705 0.2456 0.1257  1 Ti 2.73, 1 Ac 2.93
Se: 0.8801 0.0551 0.6257  1 Ti 2.73, 1 Ac 2.93
Se: 0.6750 0.4295 0.5551  1 Ti 2.73, 1 Ac 2.93
Ti: 0.1250 0.2500 0.8750  4 Se 2.73
Ti: 0.8750 0.7500 0.1250  4 Se 2.73
Ti: 0.1250 0.8750 0.7500  4 Se 2.73
Se: 0.3250 0.7544 0.3801  1 Ti 2.73, 1 Ac 2.93
Se: 0.8743 0.6199 0.9449  1 Ti 2.73, 1 Ac 2.93
Se: 0.9449 0.8250 0.5705  1 Ti 2.73, 1 Ac 2.93
Ac: 0.0000 0.0000 0.0000  6 Se 3.09
Se: 0.0705 0.6257 0.7456  1 Ti 2.73, 1 Ac 2.93
Se: 0.4449 0.3743 0.6199  1 Ti 2.73, 1 Ac 2.93
Ti: 0.6250 0.3750 0.7500  4 Se 2.73
Ac: 0.1250 0.3750 0.2500  4 Se 2.93
Ac: 0.5000 0.0000 0.0000  6 Se 3.09
Ti: 0.6250 0.2500 0.3750  4 Se 2.73
Se: 0.3743 0.9295 0.7544  1 Ti 2.73, 1 Ac 2.93
Se: 0.5551 0.6257 0.3801  1 Ti 2.73, 1 Ac 2.93
Se: 0.7456 0.1257 0.0705  1 Ti 2.73, 1 Ac 2.93
Ac: 0.5000 0.5000 0.5000  6 Se 3.09
Se: 0.8250 0.9449 0.0705  1 Ti 2.73, 1 Ac 2.93
Se: 0.1750 0.1199 0.7456  1 Ti 2.73, 1 Ac 2.93
Ac: 0.2500 0.8750 0.1250  4 Se 2.93
Se: 0.1257 0.3801 0.0551  1 Ti 2.73, 1 Ac 2.93
Ti: 0.3750 0.6250 0.2500  4 Se 2.73
Se: 0.4295 0.6750 0.0551  1 Ti 2.73, 1 Ac 2.93
Ac: 0.3750 0.1250 0.7500  4 Se 2.93
Se: 0.5551 0.9295 0.6750  1 Ti 2.73, 1 Ac 2.93
Se: 0.8801 0.8250 0.7544  1 Ti 2.73, 1 Ac 2.93
Se: 0.2544 0.8743 0.9295  1 Ti 2.73, 1 Ac 2.93
Ac: 0.6250 0.7500 0.8750  4 Se 2.93
Se: 0.7544 0.4295 0.3743  1 Ti 2.73, 1 Ac 2.93
Se: 0.7544 0.3250 0.8801  1 Ti 2.73, 1 Ac 2.93
Se: 0.8250 0.8801 0.2544  1 Ti 2.73, 1 Ac 2.93
Ti: 0.3750 0.7500 0.6250  4 Se 2.73
Ac: 0.0000 0.5000 0.5000  6 Se 3.09
Se: 0.6750 0.2456 0.6199  1 Ti 2.73, 1 Ac 2.93
Se: 0.4449 0.0705 0.3250  1 Ti 2.73, 1 Ac 2.93
Ti: 0.2500 0.1250 0.3750  4 Se 2.73
Se: 0.3743 0.4449 0.1199  1 Ti 2.73, 1 Ac 2.93
Se: 0.1257 0.7456 0.5705  1 Ti 2.73, 1 Ac 2.93
Ac: 0.8750 0.6250 0.7500  4 Se 2.93
Se: 0.9295 0.5551 0.1750  1 Ti 2.73, 1 Ac 2.93
Se: 0.0551 0.8801 0.1257  1 Ti 2.73, 1 Ac 2.93
Ti: 0.8750 0.1250 0.2500  4 Se 2.73
Se: 0.9295 0.3743 0.2544  1 Ti 2.73, 1 Ac 2.93
Ac: 0.7500 0.6250 0.3750  4 Se 2.93
Ac: 0.7500 0.1250 0.8750  4 Se 2.93
Se: 0.3801 0.2544 0.3250  1 Ti 2.73, 1 Ac 2.93
Se: 0.3250 0.5705 0.4449  1 Ti 2.73, 1 Ac 2.93
Se: 0.5705 0.3250 0.9449  1 Ti 2.73, 1 Ac 2.93
Se: 0.2456 0.5705 0.6257  1 Ti 2.73, 1 Ac 2.93
Se: 0.1199 0.1750 0.2456  1 Ti 2.73, 1 Ac 2.93
Ti: 0.7500 0.8750 0.6250  4 Se 2.73
Ti: 0.2500 0.6250 0.8750  4 Se 2.73
Se: 0.2456 0.6750 0.1199  1 Ti 2.73, 1 Ac 2.93
Ac: 0.5000 0.0000 0.5000  6 Se 3.09
Se: 0.7456 0.6199 0.1750  1 Ti 2.73, 1 Ac 2.93
Ti: 0.7500 0.3750 0.1250  4 Se 2.73
Se: 0.9449 0.1199 0.8743  1 Ti 2.73, 1 Ac 2.93
Ac: 0.8750 0.2500 0.6250  4 Se 2.93
Ac: 0.6250 0.8750 0.2500  4 Se 2.93
Se: 0.6257 0.5551 0.8801  1 Ti 2.73, 1 Ac 2.93
Se: 0.6199 0.8743 0.4449  1 Ti 2.73, 1 Ac 2.93
Se: 0.6257 0.0705 0.2456  1 Ti 2.73, 1 Ac 2.93
Se: 0.1199 0.9449 0.3743  1 Ti 2.73, 1 Ac 2.93
Ac: 0.0000 0.0000 0.5000  6 Se 3.09
Ac: 0.0000 0.5000 0.0000  6 Se 3.09
Ac: 0.5000 0.5000 0.0000  6 Se 3.09
Se: 0.3801 0.1257 0.5551  1 Ti 2.73, 1 Ac 2.93
Se: 0.6199 0.7456 0.6750  1 Ti 2.73, 1 Ac 2.93
Ac: 0.2500 0.3750 0.6250  4 Se 2.93

---

# 5
DFT (PBE) results for crystalline MgAg2Pb2 at its relaxed geometry.

Output
Energy in eV per atom: -2.8255
E above lowest polymorph in kJ/mol of formula units: 40
ΔH_f (0 K) in meV/atom: 117
N(E_F) in states/eV per atom: 0.47

Unit cell a=3.8376 b=3.8376 c=9.0200 alpha=77.72 beta=77.72 gamma=90.00
Closest atoms and distances in Å follow each position.
Positions (direct):
Pb: 0.3944 0.3944 0.2113  4 Ag 3.14, 4 Mg 3.27
Ag: 0.7500 0.2500 0.5000  4 Ag 2.71
Mg: 0.0000 0.0000 0.0000  8 Pb 3.27
Pb: 0.6056 0.6056 0.7887  4 Ag 3.14, 4 Mg 3.27
Ag: 0.2500 0.7500 0.5000  4 Ag 2.71

---

# 6
DFT (PBE) results for crystalline Nd3Ag5 at its relaxed geometry.

Output
Energy in eV per atom: -3.7840
ΔH_f (0 K) in meV/atom: -214
N(E_F) in states/eV per atom: 0.76

Unit cell a=6.1837 b=7.8371 c=9.5109 alpha=82.63 beta=71.03 gamma=66.76
Closest atoms and distances in Å follow each position.
Positions (direct):
Nd: 0.9196 0.3765 0.6621  9 Ag 3.10-3.38
Ag: 0.1058 0.6020 0.3830  3 Ag 2.81-2.82, 1 Nd 3.10
Ag: 0.7520 0.4960 0.0000  4 Ag 2.88-3.17, 4 Nd 3.18-3.19
Ag: 0.4282 0.7202 0.8309  3 Ag 2.81-2.88, 1 Nd 3.09
Nd: 0.7039 0.3765 0.3379  9 Ag 3.10-3.38
Nd: 0.3052 0.3897 0.0000  8 Ag 3.09-3.23
Ag: 0.7387 0.1020 0.1170  3 Ag 2.81-2.82, 1 Nd 3.10
Nd: 0.8317 0.8765 0.8379  9 Ag 3.10-3.38
Nd: 0.5552 0.8897 0.5000  8 Ag 3.09-3.23
Ag: 0.0020 0.9960 0.5000  4 Ag 2.88-3.17, 4 Nd 3.18-3.19
Ag: 0.2707 0.2202 0.3309  3 Ag 2.81-2.88, 1 Nd 3.09
Nd: 0.2917 0.8765 0.1621  9 Ag 3.10-3.38
Ag: 0.1593 0.1020 0.8830  3 Ag 2.81-2.82, 1 Nd 3.10
Ag: 0.5091 0.2202 0.6691  3 Ag 2.81-2.88, 1 Nd 3.09
Ag: 0.8516 0.7202 0.1691  3 Ag 2.81-2.88, 1 Nd 3.09
Ag: 0.2923 0.6020 0.6170  3 Ag 2.81-2.82, 1 Nd 3.10